[1]
NpWAu: optimized geometry, GGA-PBE.

abc: 4.537 4.537 4.537
angles: 60.00 60.00 60.00
Sites, in units of the cell vectors:
1 Au 0.000 0.000 0.000
2 Np 0.500 0.500 0.500
3 W 0.250 0.250 0.250

Computed properties:
SG = F-43m
Volume = 22.02 A^3/atom
ΔH_f (0 K) = 1096 meV/atom

---

[2]
YNpAu: optimized geometry, GGA-PBE.

abc: 4.869 4.869 4.869
angles: 60.00 60.00 60.00
Last column: magnetic moment on the atom in μB.
Sites, in units of the cell vectors:
1 Au 0.000 0.000 0.000  -0.03
2 Np 0.750 0.750 0.750  4.11
3 Y 0.500 0.500 0.500  0.36

Computed properties:
SG = F-43m
Volume = 27.20 A^3/atom
Offset from the most stable computed form = 0.000 eV/atom
ΔH_f (0 K) = 487 meV/atom

---

[3]
AuO2: optimized geometry, GGA-PBE.

abc: 4.547 4.547 4.547
angles: 60.00 60.00 60.00
Sites, in units of the cell vectors:
1 Au 0.000 0.000 0.000
2 Au 0.250 0.250 0.250
3 O 0.625 0.625 0.125
4 O 0.625 0.125 0.625
5 O 0.125 0.625 0.625
6 O 0.625 0.625 0.625

Computed properties:
SG = Fd-3m
Volume = 11.08 A^3/atom
Final energy = -0.2072 Ry/atom